No. 1
Zn2RePb | PBE | relaxed

a b c (Å): 4.2930 4.2930 3.7359
angles (deg): 90.00 90.00 90.00
Sites, in units of the cell vectors:
Zn: 0.0000 0.5000 0.0000
Zn: 0.5000 0.0000 0.0000
Re: 0.0000 0.0000 0.5000
Pb: 0.5000 0.5000 0.5000

Results
Total magnetization, μB/atom: 0.000
N(E_F), states/eV per cell: 3.09
E, eV per atom: -3.965
Energy relative to the elements, eV per atom: 0.71

=====

No. 2
LiRh2Se | PBE | relaxed

a b c (Å): 2.9951 2.9951 23.6611
angles (deg): 90.00 90.00 120.00
Sites, in units of the cell vectors:
Li: 0.0000 0.0000 0.0000
Li: 0.3333 0.6667 0.6667
Li: 0.6667 0.3333 0.3333
Rh: 0.0000 0.0000 0.2449
Rh: 0.0000 0.0000 0.7551
Rh: 0.3333 0.6667 0.4218
Rh: 0.3333 0.6667 0.9115
Rh: 0.6667 0.3333 0.0885
Rh: 0.6667 0.3333 0.5782
Se: 0.0000 0.0000 0.5000
Se: 0.3333 0.6667 0.1667
Se: 0.6667 0.3333 0.8333

Results
Total magnetization, μB/atom: 0.000
N(E_F), states/eV per cell: 10.02
Formation energy (no corrections), eV per atom: 0.0340
E, eV per atom: -4.991